# ScCr3Hg

A relaxed ScCr3Hg crystal (PBE, Alexandria via LeMat-Bulk).

Results
VASP energy   -5.72 eV per atom
Theoretical density   5.21 Mg/m³
E_form   1.38 eV per atom
Magnetization   2.425 μB/atom
Offset from the most stable computed form   0.0 meV per atom

a = 5.039 Å, b = 5.039 Å, c = 5.039 Å
α = 90.00°, β = 90.00°, γ = 90.00°
Sites, in units of the cell vectors:
Sc: 0.000 0.000 0.000
Cr: 0.000 0.500 0.500
Cr: 0.500 0.000 0.500
Cr: 0.500 0.500 0.000
Hg: 0.500 0.500 0.500